## SrV3Tc (GGA-PBE)

Data for SrV3Tc after structural relaxation.

## Properties
Formation energy from the elements (meV per atom): 2601
E above lowest polymorph (meV per atom): 1809

```
SrV3Tc
1.0
4.457 0.000 0.000
0.000 4.457 0.000
0.000 0.000 4.457
Sr Tc V
1 1 3
Direct
0.000 0.000 0.000 Sr
0.500 0.500 0.500 Tc
0.000 0.500 0.000 V
0.000 0.000 0.500 V
0.500 0.000 0.000 V
```

=====

## LaCuH2 (GGA-PBE)

Data for LaCuH2 after structural relaxation.

## Properties
E above lowest polymorph (meV per atom): 0

```
LaCuH2
1.0
-1.350 1.010 3.862
-0.069 4.033 1.220
-3.682 1.990 0.491
H Cu La
2 1 1
Direct
0.250 0.250 0.250 H
0.750 0.750 0.750 H
0.000 0.000 0.000 Cu
0.500 0.500 0.500 La
```

=====

## Ca2PrZn9 (GGA-PBE)

Data for Ca2PrZn9 after structural relaxation.

## Properties
Formation energy from the elements (meV per atom): -273

```
Ca2PrZn9
1.0
-2.042 -4.833 1.794
0.678 -4.593 -3.032
6.962 -4.754 3.689
Ca Pr Zn
2 1 9
Direct
0.857 0.857 0.428 Ca
0.143 0.143 0.572 Ca
0.000 0.000 0.000 Pr
0.665 0.665 0.006 Zn
0.335 0.335 0.994 Zn
0.500 0.500 0.500 Zn
0.415 0.415 0.246 Zn
0.925 0.415 0.246 Zn
0.415 0.925 0.246 Zn
0.585 0.585 0.754 Zn
0.585 0.075 0.754 Zn
0.075 0.585 0.754 Zn
```

=====

## Er5Sn2Ru2 (GGA-PBE)

Data for Er5Sn2Ru2 after structural relaxation.

## Properties
Formation energy from the elements (meV per atom): -484

```
Er5Sn2Ru2
1.0
-2.789 6.455 -1.807
-7.219 -3.126 -0.024
2.809 3.353 7.641
Er Sn Ru
10 4 4
Direct
0.000 0.000 0.000 Er
0.500 0.500 0.000 Er
0.834 0.798 0.242 Er
0.166 0.443 0.242 Er
0.334 0.943 0.242 Er
0.666 0.298 0.242 Er
0.166 0.202 0.758 Er
0.834 0.557 0.758 Er
0.666 0.057 0.758 Er
0.334 0.702 0.758 Er
0.000 0.217 0.435 Sn
0.500 0.717 0.435 Sn
0.000 0.783 0.565 Sn
0.500 0.283 0.565 Sn
0.623 0.873 0.000 Ru
0.377 0.127 0.000 Ru
0.123 0.627 0.000 Ru
0.877 0.373 0.000 Ru
```

=====

## CsK2Ga2 (GGA-PBE)

Data for CsK2Ga2 after structural relaxation.

## Properties
Formation energy from the elements (meV per atom): 98
E above lowest polymorph (meV per atom): 31

```
CsK2Ga2
1.0
9.776 0.000 0.000
0.000 9.776 0.000
0.000 0.000 4.692
Cs K Ga
2 4 4
Direct
0.000 0.000 0.000 Cs
0.500 0.500 0.000 Cs
0.180 0.680 0.500 K
0.680 0.820 0.500 K
0.820 0.320 0.500 K
0.320 0.180 0.500 K
0.409 0.909 0.000 Ga
0.909 0.591 0.000 Ga
0.591 0.091 0.000 Ga
0.091 0.409 0.000 Ga
```

=====

## ReS (GGA-PBE)

Data for ReS after structural relaxation.

## Properties
Energy relative to the elements, uncorrected (eV per atom): -0.059
E above lowest polymorph (meV per atom): 11

```
ReS
1.0
2.959 -0.002 0.001
0.297 4.620 -0.003
0.030 2.088 6.436
Re S
2 2
Direct
0.787 0.228 0.032 Re
0.213 0.772 0.968 Re
0.255 0.355 0.263 S
0.745 0.645 0.737 S
```

=====

## Ti8Sn2Te (GGA-PBE)

Data for Ti8Sn2Te after structural relaxation.

## Properties
Energy relative to the elements, uncorrected (eV per atom): -0.278

```
Ti8Sn2Te
1.0
-2.416 0.792 4.111
4.479 -0.079 2.647
1.398 7.442 -3.453
Ti Sn Te
8 2 1
Direct
0.411 0.464 0.823 Ti
0.672 0.101 0.344 Ti
0.766 0.663 0.532 Ti
0.046 0.266 0.093 Ti
0.234 0.337 0.468 Ti
0.328 0.899 0.656 Ti
0.589 0.536 0.177 Ti
0.954 0.734 0.907 Ti
0.851 0.207 0.702 Sn
0.149 0.793 0.298 Sn
0.500 0.000 0.000 Te
```

=====

## TiNbVSi (GGA-PBE)

Data for TiNbVSi after structural relaxation.

## Properties
Energy relative to the elements, uncorrected (eV per atom): -0.338

```
TiNbVSi
1.0
-1.925 3.788 -1.099
-2.723 1.976 2.818
1.210 3.730 1.971
Nb Ti Si V
1 1 1 1
Direct
0.250 0.250 0.250 Nb
0.000 0.000 0.000 Ti
0.750 0.750 0.750 Si
0.500 0.500 0.500 V
```

=====

## Tb3Dy2Ho6Er (GGA-PBE)

Data for Tb3Dy2Ho6Er after structural relaxation.

## Properties
Formation energy from the elements (meV per atom): 17

```
Tb3Dy2Ho6Er
1.0
6.106 0.002 0.002
-3.050 5.289 0.002
-1.016 -1.758 11.505
Tb Dy Ho Er
3 2 6 1
Direct
0.167 0.833 0.500 Tb
0.833 0.167 0.500 Tb
0.500 0.500 0.500 Tb
0.333 0.667 0.000 Dy
0.667 0.333 0.000 Dy
0.917 0.584 0.751 Ho
0.750 0.750 0.249 Ho
0.083 0.416 0.249 Ho
0.584 0.917 0.751 Ho
0.250 0.250 0.751 Ho
0.416 0.083 0.249 Ho
0.000 0.000 0.000 Er
```

=====

## BaNiAg2 (GGA-PBE)

Data for BaNiAg2 after structural relaxation.

## Properties
Formation energy from the elements (meV per atom): 3
E above lowest polymorph (meV per atom): 0

```
BaNiAg2
1.0
-3.798 4.120 2.728
-1.337 1.824 5.807
0.586 5.189 3.401
Ag Ba Ni
2 1 1
Direct
0.053 0.053 0.053 Ag
0.447 0.447 0.447 Ag
0.250 0.250 0.250 Ba
0.750 0.750 0.750 Ni
```

=====

## CrReB2 (GGA-PBE)

Data for CrReB2 after structural relaxation.

## Properties
Formation energy from the elements (meV per atom): 208
E above lowest polymorph (meV per atom): 0

```
CrReB2
1.0
1.659 -3.121 -1.337
0.836 -2.846 2.341
-1.941 -3.237 -0.192
Re B Cr
1 2 1
Direct
0.500 0.500 0.500 Re
0.250 0.250 0.250 B
0.750 0.750 0.750 B
0.000 0.000 0.000 Cr
```

=====

## V4Ni2Pd (GGA-PBE)

Data for V4Ni2Pd after structural relaxation.

## Properties
Formation energy from the elements (meV per atom): 1021

```
V4Ni2Pd
1.0
4.582 0.000 0.000
0.000 4.582 0.000
2.291 2.291 5.958
Ni Pd V
2 1 4
Direct
0.401 0.401 0.198 Ni
0.599 0.599 0.802 Ni
0.000 0.000 0.000 Pd
0.209 0.209 0.582 V
0.791 0.791 0.418 V
0.000 0.500 0.000 V
0.500 0.000 0.000 V
```

=====

| no. | V (Å³ per cell) |
| --- | --- |
| 1 | 88.5 |
| 2 | 52.9 |
| 3 | 229.7 |
| 4 | 449.9 |
| 5 | 448.4 |
| 6 | 88.0 |
| 7 | 199.6 |
| 8 | 59.8 |
| 9 | 371.7 |
| 10 | 101.8 |
| 11 | 38.2 |
| 12 | 125.1 |